## CsMn2RuI (PBE)

Data for an optimized crystal structure of CsMn2RuI.

Structure (CIF):
```
data_CsMn2RuI
_chemical_formula_sum 'Cs1 Mn2 Ru1 I1'
_space_group_name_H-M_alt 'P 1'
_space_group_IT_number 1
_space_group_name_Hall 'P 1'
_cell_length_a 5.052
_cell_length_b 5.705
_cell_length_c 5.052
_cell_angle_alpha 90.00
_cell_angle_beta 90.00
_cell_angle_gamma 90.00
loop_
_atom_site_label
_atom_site_type_symbol
_atom_site_fract_x
_atom_site_fract_y
_atom_site_fract_z
Mn1 Mn 0.500 0.000 0.000
Mn2 Mn 0.000 0.000 0.500
Ru1 Ru 0.000 0.000 0.000
Cs1 Cs 0.500 0.500 0.500
I1 I 0.000 0.500 0.000
```

## Properties
DOS(E_F) ... 3.71 states/eV per cell



## Cs2MnSI6 (PBE)

Data for an optimized crystal structure of Cs2MnSI6.

Structure (CIF):
```
data_Cs2MnSI6
_chemical_formula_sum 'Cs2 Mn1 S1 I6'
_space_group_name_H-M_alt 'P 1'
_space_group_IT_number 1
_space_group_name_Hall 'P 1'
_cell_length_a 8.541
_cell_length_b 8.541
_cell_length_c 8.366
_cell_angle_alpha 59.31
_cell_angle_beta 59.31
_cell_angle_gamma 90.00
loop_
_atom_site_label
_atom_site_type_symbol
_atom_site_fract_x
_atom_site_fract_y
_atom_site_fract_z
I1 I 0.224 0.224 0.000
I2 I 0.730 0.730 0.540
I3 I 0.776 0.776 0.000
I4 I 0.776 0.224 0.000
I5 I 0.224 0.776 0.000
I6 I 0.270 0.270 0.460
S1 S 0.500 0.500 0.000
Cs1 Cs 0.250 0.750 0.500
Cs2 Cs 0.750 0.250 0.500
Mn1 Mn 0.000 0.000 0.000
```

## Properties
DOS(E_F) ... 2.40 states/eV per cell



## CsMnSb2I (PBE)

Data for an optimized crystal structure of CsMnSb2I.

Structure (CIF):
```
data_CsMnSb2I
_chemical_formula_sum 'Cs1 Mn1 Sb2 I1'
_space_group_name_H-M_alt 'P 1'
_space_group_IT_number 1
_space_group_name_Hall 'P 1'
_cell_length_a 4.996
_cell_length_b 4.996
_cell_length_c 6.396
_cell_angle_alpha 90.00
_cell_angle_beta 90.00
_cell_angle_gamma 90.00
loop_
_atom_site_label
_atom_site_type_symbol
_atom_site_fract_x
_atom_site_fract_y
_atom_site_fract_z
Cs1 Cs 0.500 0.500 0.500
Mn1 Mn 0.000 0.000 0.000
Sb1 Sb 0.500 0.000 0.000
Sb2 Sb 0.000 0.500 0.000
I1 I 0.000 0.000 0.500
```

## Properties
DOS(E_F) ... 2.79 states/eV per cell



## Cs2ScMnI6 (PBE)

Data for an optimized crystal structure of Cs2ScMnI6.

Structure (CIF):
```
data_Cs2ScMnI6
_chemical_formula_sum 'Cs2 Sc1 Mn1 I6'
_space_group_name_H-M_alt 'P 1'
_space_group_IT_number 1
_space_group_name_Hall 'P 1'
_cell_length_a 8.309
_cell_length_b 8.309
_cell_length_c 8.310
_cell_angle_alpha 60.00
_cell_angle_beta 60.00
_cell_angle_gamma 90.00
loop_
_atom_site_label
_atom_site_type_symbol
_atom_site_fract_x
_atom_site_fract_y
_atom_site_fract_z
I1 I 0.249 0.249 0.000
I2 I 0.751 0.751 0.497
I3 I 0.249 0.249 0.503
I4 I 0.751 0.751 0.000
I5 I 0.751 0.249 0.000
I6 I 0.249 0.751 0.000
Mn1 Mn 0.000 0.000 0.000
Sc1 Sc 0.500 0.500 0.000
Cs1 Cs 0.250 0.750 0.500
Cs2 Cs 0.750 0.250 0.500
```

## Properties
DOS(E_F) ... 5.27 states/eV per cell



## CsScMnI6 (PBE)

Data for an optimized crystal structure of CsScMnI6.

Structure (CIF):
```
data_CsScMnI6
_chemical_formula_sum 'Cs1 Sc1 Mn1 I6'
_space_group_name_H-M_alt 'P 1'
_space_group_IT_number 1
_space_group_name_Hall 'P 1'
_cell_length_a 7.545
_cell_length_b 7.545
_cell_length_c 8.773
_cell_angle_alpha 90.00
_cell_angle_beta 90.00
_cell_angle_gamma 60.00
loop_
_atom_site_label
_atom_site_type_symbol
_atom_site_fract_x
_atom_site_fract_y
_atom_site_fract_z
I1 I 0.999 0.372 0.310
I2 I 0.999 0.629 0.690
I3 I 0.629 0.372 0.690
I4 I 0.372 0.629 0.310
I5 I 0.629 0.999 0.310
I6 I 0.372 0.999 0.690
Mn1 Mn 0.333 0.333 0.500
Sc1 Sc 0.667 0.667 0.500
Cs1 Cs 0.000 0.000 0.000
```

## Properties
DOS(E_F) ... 0.00 states/eV per cell



## CsScMn2I8 (PBE)

Data for an optimized crystal structure of CsScMn2I8.

Structure (CIF):
```
data_CsScMn2I8
_chemical_formula_sum 'Cs1 Sc1 Mn2 I8'
_space_group_name_H-M_alt 'P 1'
_space_group_IT_number 1
_space_group_name_Hall 'P 1'
_cell_length_a 7.297
_cell_length_b 7.297
_cell_length_c 12.475
_cell_angle_alpha 72.99
_cell_angle_beta 72.99
_cell_angle_gamma 60.00
loop_
_atom_site_label
_atom_site_type_symbol
_atom_site_fract_x
_atom_site_fract_y
_atom_site_fract_z
Mn1 Mn 0.242 0.242 0.273
Mn2 Mn 0.758 0.758 0.727
I1 I 0.762 0.429 0.663
I2 I 0.854 0.571 0.337
I3 I 0.571 0.238 0.337
I4 I 0.317 0.317 0.050
I5 I 0.429 0.146 0.663
I6 I 0.146 0.762 0.663
I7 I 0.683 0.683 0.950
I8 I 0.238 0.854 0.337
Cs1 Cs 0.000 0.000 0.000
Sc1 Sc 0.500 0.500 0.500
```



## Cs2MnSiI6 (PBE)

Data for an optimized crystal structure of Cs2MnSiI6.

Structure (CIF):
```
data_Cs2MnSiI6
_chemical_formula_sum 'Cs2 Mn1 Si1 I6'
_space_group_name_H-M_alt 'P 1'
_space_group_IT_number 1
_space_group_name_Hall 'P 1'
_cell_length_a 8.307
_cell_length_b 8.307
_cell_length_c 8.306
_cell_angle_alpha 60.00
_cell_angle_beta 60.00
_cell_angle_gamma 90.00
loop_
_atom_site_label
_atom_site_type_symbol
_atom_site_fract_x
_atom_site_fract_y
_atom_site_fract_z
I1 I 0.752 0.248 0.000
I2 I 0.248 0.248 0.000
I3 I 0.752 0.752 0.000
I4 I 0.752 0.752 0.496
I5 I 0.248 0.248 0.504
I6 I 0.248 0.752 0.000
Cs1 Cs 0.750 0.250 0.500
Cs2 Cs 0.250 0.750 0.500
Mn1 Mn 0.000 0.000 0.000
Si1 Si 0.500 0.500 0.000
```

## Properties
DOS(E_F) ... 0.00 states/eV per cell



## CsMn2SnI8 (PBE)

Data for an optimized crystal structure of CsMn2SnI8.

Structure (CIF):
```
data_CsMn2SnI8
_chemical_formula_sum 'Cs1 Mn2 Sn1 I8'
_space_group_name_H-M_alt 'P 1'
_space_group_IT_number 1
_space_group_name_Hall 'P 1'
_cell_length_a 7.553
_cell_length_b 7.553
_cell_length_c 11.822
_cell_angle_alpha 71.37
_cell_angle_beta 71.37
_cell_angle_gamma 60.00
loop_
_atom_site_label
_atom_site_type_symbol
_atom_site_fract_x
_atom_site_fract_y
_atom_site_fract_z
I1 I 0.936 0.615 0.167
I2 I 0.064 0.385 0.833
I3 I 0.719 0.064 0.833
I4 I 0.175 0.175 0.475
I5 I 0.385 0.719 0.833
I6 I 0.825 0.825 0.525
I7 I 0.281 0.936 0.167
I8 I 0.615 0.281 0.167
Cs1 Cs 0.500 0.500 0.500
Sn1 Sn 0.000 0.000 0.000
Mn1 Mn 0.746 0.746 0.763
Mn2 Mn 0.254 0.254 0.237
```

## Properties
DOS(E_F) ... 8.13 states/eV per cell



## CsMnSn2I8 (PBE)

Data for an optimized crystal structure of CsMnSn2I8.

Structure (CIF):
```
data_CsMnSn2I8
_chemical_formula_sum 'Cs1 Mn1 Sn2 I8'
_space_group_name_H-M_alt 'P 1'
_space_group_IT_number 1
_space_group_name_Hall 'P 1'
_cell_length_a 7.145
_cell_length_b 8.219
_cell_length_c 10.652
_cell_angle_alpha 74.73
_cell_angle_beta 76.53
_cell_angle_gamma 75.10
loop_
_atom_site_label
_atom_site_type_symbol
_atom_site_fract_x
_atom_site_fract_y
_atom_site_fract_z
Mn1 Mn 0.000 0.000 0.000
I1 I 0.566 0.740 0.483
I2 I 0.739 0.143 0.184
I3 I 0.177 0.695 0.234
I4 I 0.434 0.260 0.517
I5 I 0.823 0.305 0.766
I6 I 0.261 0.857 0.816
I7 I 0.759 0.798 0.001
I8 I 0.241 0.202 0.999
Sn1 Sn 0.584 0.553 0.270
Sn2 Sn 0.416 0.447 0.730
Cs1 Cs 0.000 0.000 0.500
```

## Properties
DOS(E_F) ... 0.29 states/eV per cell



## CsSrMnI6 (PBE)

Data for an optimized crystal structure of CsSrMnI6.

Structure (CIF):
```
data_CsSrMnI6
_chemical_formula_sum 'Cs1 Sr1 Mn1 I6'
_space_group_name_H-M_alt 'P 1'
_space_group_IT_number 1
_space_group_name_Hall 'P 1'
_cell_length_a 8.041
_cell_length_b 8.041
_cell_length_c 8.426
_cell_angle_alpha 90.01
_cell_angle_beta 89.99
_cell_angle_gamma 59.97
loop_
_atom_site_label
_atom_site_type_symbol
_atom_site_fract_x
_atom_site_fract_y
_atom_site_fract_z
Sr1 Sr 0.667 0.667 0.500
I1 I 0.608 0.044 0.301
I2 I 0.044 0.348 0.301
I3 I 0.608 0.348 0.699
I4 I 0.348 0.044 0.699
I5 I 0.348 0.608 0.301
I6 I 0.044 0.608 0.699
Mn1 Mn 0.333 0.333 0.500
Cs1 Cs 0.000 0.000 0.000
```

## Properties
DOS(E_F) ... 6.80 states/eV per cell



## Cs2TaMnI6 (PBE)

Data for an optimized crystal structure of Cs2TaMnI6.

Structure (CIF):
```
data_Cs2TaMnI6
_chemical_formula_sum 'Cs2 Ta1 Mn1 I6'
_space_group_name_H-M_alt 'P 1'
_space_group_IT_number 1
_space_group_name_Hall 'P 1'
_cell_length_a 8.257
_cell_length_b 8.257
_cell_length_c 8.259
_cell_angle_alpha 60.01
_cell_angle_beta 60.01
_cell_angle_gamma 90.00
loop_
_atom_site_label
_atom_site_type_symbol
_atom_site_fract_x
_atom_site_fract_y
_atom_site_fract_z
Cs1 Cs 0.750 0.250 0.500
Cs2 Cs 0.250 0.750 0.500
Mn1 Mn 0.500 0.500 0.000
I1 I 0.248 0.752 0.000
I2 I 0.752 0.752 0.000
I3 I 0.248 0.248 0.504
I4 I 0.752 0.248 0.000
I5 I 0.248 0.248 0.000
I6 I 0.752 0.752 0.496
Ta1 Ta 0.000 0.000 0.000
```

## Properties
DOS(E_F) ... 10.79 states/eV per cell



## CsTbMnI6 (PBE)

Data for an optimized crystal structure of CsTbMnI6.

Structure (CIF):
```
data_CsTbMnI6
_chemical_formula_sum 'Cs1 Tb1 Mn1 I6'
_space_group_name_H-M_alt 'P 1'
_space_group_IT_number 1
_space_group_name_Hall 'P 1'
_cell_length_a 7.752
_cell_length_b 7.747
_cell_length_c 8.752
_cell_angle_alpha 89.89
_cell_angle_beta 89.95
_cell_angle_gamma 60.02
loop_
_atom_site_label
_atom_site_type_symbol
_atom_site_fract_x
_atom_site_fract_y
_atom_site_fract_z
Mn1 Mn 0.333 0.333 0.500
I1 I 0.622 0.365 0.697
I2 I 0.012 0.622 0.697
I3 I 0.622 0.013 0.304
I4 I 0.366 0.622 0.303
I5 I 0.366 0.012 0.697
I6 I 0.012 0.366 0.303
Tb1 Tb 0.667 0.667 0.500
Cs1 Cs 0.000 0.000 0.000
```

## Properties
DOS(E_F) ... 0.00 states/eV per cell



| no. | uncorrected formation energy (kJ per mole of atoms) |
| --- | --- |
| 1 | 58.8 |
| 2 | -61.2 |
| 3 | -9.5 |
| 4 | -101.3 |
| 5 | -100.2 |
| 6 | -78.5 |
| 7 | -72.4 |
| 8 | -56.6 |
| 9 | -54.8 |
| 10 | -97.9 |
| 11 | -58.7 |
| 12 | -107.5 |